# 1
CaTa2Mn at its PBEsol-relaxed geometry. Source: Alexandria, functional meta-GGA SCAN.

Lattice parameters (Å, degrees): 3.0591 3.0591 9.3926 80.63 80.63 60.00
Fractional positions:
Ca: 0.5000 0.5000 0.5000
Ta: 0.2692 0.2692 0.1924
Ta: 0.7308 0.7308 0.8076
Mn: 0.0000 0.0000 0.0000

Computed properties:
Formation energy = 2.6 eV per formula unit
Calculated volume = 18.69 A^3/atom
Symmetry = R-3m



# 2
LiCu2Pb at its PBEsol-relaxed geometry. Source: Alexandria, functional meta-GGA SCAN.

Lattice parameters (Å, degrees): 2.9449 4.7626 5.3186 115.48 104.39 93.63
Fractional positions:
Cu: 0.5000 0.5000 0.5000
Cu: 0.0000 0.0000 0.5000
Li: 0.5000 0.0000 0.0000
Pb: 0.0000 0.5000 0.0000

Computed properties:
Formation energy = 0.7 eV per formula unit
Calculated volume = 15.99 A^3/atom
Symmetry = C2/m



# 3
LiLaPb2 at its PBEsol-relaxed geometry. Source: Alexandria, functional meta-GGA SCAN.

Lattice parameters (Å, degrees): 3.6397 4.4733 6.8200 90.00 90.00 90.00
Fractional positions:
La: 0.0000 0.0000 0.4846
Li: 0.5000 0.5000 0.8001
Pb: 0.0000 0.0000 0.9765
Pb: 0.5000 0.5000 0.2388

Computed properties:
Formation energy = -1.4 eV per formula unit
Calculated volume = 27.76 A^3/atom
Symmetry = Pmm2



# 4
HfZrBi2Sb at its PBEsol-relaxed geometry. Source: Alexandria, functional meta-GGA SCAN.

Lattice parameters (Å, degrees): 5.1841 5.5010 5.5010 90.00 90.00 90.00
Fractional positions:
Bi: 0.0000 0.0000 0.5000
Bi: 0.0000 0.5000 0.0000
Sb: 0.5000 0.5000 0.5000
Hf: 0.5000 0.0000 0.0000
Zr: 0.0000 0.0000 0.0000

Computed properties:
Calculated volume = 31.38 A^3/atom
Symmetry = P4/mmm
Formation energy from raw total energies = 0.79 eV per atom



# 5
ZrGe2TePt at its PBEsol-relaxed geometry. Source: Alexandria, functional meta-GGA SCAN.

Lattice parameters (Å, degrees): 4.8973 5.1612 5.1612 90.00 90.00 90.00
Fractional positions:
Te: 0.5000 0.5000 0.5000
Pt: 0.5000 0.0000 0.0000
Ge: 0.0000 0.0000 0.5000
Ge: 0.0000 0.5000 0.0000
Zr: 0.0000 0.0000 0.0000

Computed properties:
Calculated volume = 26.09 A^3/atom
Symmetry = P4/mmm
Formation energy from raw total energies = 0.69 eV per atom



# 6
Na2InGa2 at its PBEsol-relaxed geometry. Source: Alexandria, functional meta-GGA SCAN.

Lattice parameters (Å, degrees): 4.8939 6.9393 6.9393 90.00 90.00 90.00
Fractional positions:
Na: 0.5000 0.8252 0.3252
Na: 0.5000 0.6748 0.8252
Na: 0.5000 0.3252 0.1748
Na: 0.5000 0.1748 0.6748
Ga: 0.0000 0.8740 0.6260
Ga: 0.0000 0.3740 0.8740
Ga: 0.0000 0.1260 0.3740
Ga: 0.0000 0.6260 0.1260
In: 0.0000 0.5000 0.5000
In: 0.0000 0.0000 0.0000

Computed properties:
Formation energy = -0.7 eV per formula unit
Calculated volume = 23.57 A^3/atom
Symmetry = P4/mbm



# 7
TlCr2Os at its PBEsol-relaxed geometry. Source: Alexandria, functional meta-GGA SCAN.

Lattice parameters (Å, degrees): 4.4030 4.4030 4.4030 60.00 60.00 60.00
Fractional positions:
Os: 0.5000 0.5000 0.5000
Cr: 0.0000 0.0000 0.0000
Cr: 0.7500 0.7500 0.7500
Tl: 0.2500 0.2500 0.2500

Computed properties:
Formation energy = 1.9 eV per formula unit
Calculated volume = 15.09 A^3/atom
Symmetry = F-43m



# 8
KTcI2O at its PBEsol-relaxed geometry. Source: Alexandria, functional meta-GGA SCAN.

Lattice parameters (Å, degrees): 4.4228 6.0527 6.0527 90.00 90.00 90.00
Fractional positions:
I: 0.0000 0.5000 0.0000
I: 0.0000 0.0000 0.5000
Tc: 0.5000 0.5000 0.5000
O: 0.5000 0.0000 0.0000
K: 0.0000 0.0000 0.0000

Computed properties:
Calculated volume = 32.41 A^3/atom
Symmetry = P4/mmm
Formation energy from raw total energies = 0.73 eV per atom



# 9
KYZn2Ag at its PBEsol-relaxed geometry. Source: Alexandria, functional meta-GGA SCAN.

Lattice parameters (Å, degrees): 5.5640 5.5640 5.5198 90.00 90.00 90.00
Fractional positions:
Zn: 0.5000 0.0000 0.0000
Zn: 0.0000 0.5000 0.0000
Ag: 0.0000 0.0000 0.5000
K: 0.5000 0.5000 0.5000
Y: 0.0000 0.0000 0.0000

Computed properties:
Formation energy = 2.5 eV per formula unit
Calculated volume = 34.18 A^3/atom
Symmetry = P4/mmm



# 10
TaFeTe2 at its PBEsol-relaxed geometry. Source: Alexandria, functional meta-GGA SCAN.

Lattice parameters (Å, degrees): 4.0280 4.0280 6.6250 89.94 89.94 60.01
Fractional positions:
Te: 0.3746 0.3746 0.6656
Te: 0.0420 0.0420 0.1359
Fe: 0.3752 0.3752 0.2810
Ta: 0.7083 0.7083 0.4176

Computed properties:
Calculated volume = 23.28 A^3/atom
Symmetry = Cm
Formation energy from raw total energies = -0.25 eV per atom



# 11
Mg2OsPb at its PBEsol-relaxed geometry. Source: Alexandria, functional meta-GGA SCAN.

Lattice parameters (Å, degrees): 3.4094 4.7499 5.2089 109.09 109.10 90.00
Fractional positions:
Mg: 0.2308 0.7455 0.4617
Mg: 0.9994 0.9827 0.9988
Os: 0.5042 0.4801 0.0083
Pb: 0.7656 0.2917 0.5312

Computed properties:
Formation energy = 0.9 eV per formula unit
Calculated volume = 18.70 A^3/atom
Symmetry = Cm



# 12
LaIn2Cu at its PBEsol-relaxed geometry. Source: Alexandria, functional meta-GGA SCAN.

Lattice parameters (Å, degrees): 4.4540 4.4540 6.1882 68.91 68.91 60.00
Fractional positions:
Cu: 0.5000 0.5000 0.5000
In: 0.2147 0.2147 0.3558
In: 0.7853 0.7853 0.6442
La: 0.0000 0.0000 0.0000

Computed properties:
Formation energy = -1.7 eV per formula unit
Calculated volume = 24.18 A^3/atom
Symmetry = R-3m



# 13
SrCaY2 at its PBEsol-relaxed geometry. Source: Alexandria, functional meta-GGA SCAN.

Lattice parameters (Å, degrees): 3.7341 3.7341 10.6249 90.00 90.00 90.00
Fractional positions:
Y: 0.0000 0.0000 0.0285
Y: 0.5000 0.5000 0.2328
Ca: 0.0000 0.0000 0.4739
Sr: 0.5000 0.5000 0.7648

Computed properties:
Formation energy = 0.4 eV per formula unit
Calculated volume = 37.04 A^3/atom
Symmetry = P4mm



# 14
AgSnP2 at its PBEsol-relaxed geometry. Source: Alexandria, functional meta-GGA SCAN.

Lattice parameters (Å, degrees): 5.7628 5.7628 6.9391 114.53 114.53 90.00
Fractional positions:
P: 0.8596 0.3750 0.2500
P: 0.1250 0.1404 0.7500
P: 0.3904 0.8750 0.2500
P: 0.6250 0.6096 0.7500
Ag: 0.5000 0.5000 0.0000
Ag: 0.7500 0.2500 0.5000
Sn: 0.2500 0.7500 0.5000
Sn: 0.0000 0.0000 0.0000

Computed properties:
Formation energy = 0.6 eV per formula unit
Calculated volume = 23.32 A^3/atom
Symmetry = I-42d



# 15
HfSe3 at its PBEsol-relaxed geometry. Source: Alexandria, functional meta-GGA SCAN.

Lattice parameters (Å, degrees): 3.6809 5.3052 9.4211 97.06 90.00 90.00
Fractional positions:
Se: 0.7500 0.7620 0.5541
Se: 0.7500 0.4507 0.1744
Se: 0.7500 0.9025 0.1710
Se: 0.2500 0.2380 0.4459
Se: 0.2500 0.5493 0.8256
Se: 0.2500 0.0975 0.8290
Hf: 0.7500 0.2843 0.6580
Hf: 0.2500 0.7157 0.3420

Computed properties:
Calculated volume = 22.82 A^3/atom
Symmetry = P2_1/m
Formation energy from raw total energies = -1.12 eV per atom



Total magnetization list, top to bottom, in μB per cell: 0.00; 0.00; 0.00; 0.00; 0.00; 0.00; 0.74; 6.25; 0.00; 0.94; 0.00; 0.00; 0.49; 0.00; 0.00
VASP energy list, top to bottom, in eV/atom: -39.63; -26.96; -49.61; -56.77; -34.58; -15.04; -44.77; -23.89; -18.42; -40.05; -39.18; -31.70; -21.80; -21.87; -31.85